[1]
# OsWAu2Se

A relaxed OsWAu2Se crystal (PBE, Alexandria via LeMat-Bulk).

final energy	-5.13	eV/atom

a = 5.1573 Å, b = 5.1573 Å, c = 4.4718 Å
α = 90.00°, β = 90.00°, γ = 90.00°
Space group P4/mmm (No. 123)
One atom of each set of equivalent atoms:
Os 0.0000 0.0000 0.0000 (multiplicity 1)
W 0.5000 0.5000 0.5000 (multiplicity 1)
Au 0.0000 0.5000 0.0000 (multiplicity 2)
Se 0.0000 0.0000 0.5000 (multiplicity 1)

[2]
# Y2OsAuSe

A relaxed Y2OsAuSe crystal (PBE, Alexandria via LeMat-Bulk).

final energy	-5.40	eV/atom

a = 5.4749 Å, b = 5.4749 Å, c = 4.8008 Å
α = 90.00°, β = 90.00°, γ = 90.00°
Space group P4/mmm (No. 123)
One atom of each set of equivalent atoms:
Y 0.0000 0.5000 0.0000 (multiplicity 2)
Os 0.0000 0.0000 0.5000 (multiplicity 1)
Au 0.5000 0.5000 0.0000 (multiplicity 1)
Se 0.5000 0.5000 0.5000 (multiplicity 1)

[3]
# Si4OsAu

A relaxed Si4OsAu crystal (PBE, Alexandria via LeMat-Bulk).

final energy	-5.36	eV/atom

a = 7.0610 Å, b = 7.0610 Å, c = 7.0610 Å
α = 90.00°, β = 90.00°, γ = 90.00°
Space group F-43m (No. 216)
One atom of each set of equivalent atoms:
Si 0.1241 0.1241 0.1241 (multiplicity 16)
Os 0.2500 0.2500 0.7500 (multiplicity 4)
Au 0.0000 0.0000 0.5000 (multiplicity 4)

[4]
# Si2OsAu

A relaxed Si2OsAu crystal (PBE, Alexandria via LeMat-Bulk).

final energy	-5.98	eV/atom
polymorph energy (0 for the lowest one)	0.411	eV/atom

a = 3.7511 Å, b = 3.7511 Å, c = 8.3508 Å
α = 90.00°, β = 90.00°, γ = 90.00°
Space group I-4m2 (No. 119)
One atom of each set of equivalent atoms:
Si 0.0000 0.0000 0.0000 (multiplicity 2)
Si 0.0000 0.5000 0.2500 (multiplicity 2)
Os 0.0000 0.0000 0.5000 (multiplicity 2)
Au 0.0000 0.5000 0.7500 (multiplicity 2)

[5]
# SiOsAu

A relaxed SiOsAu crystal (PBE, Alexandria via LeMat-Bulk).

final energy	-6.45	eV/atom
polymorph energy (0 for the lowest one)	0.090	eV/atom

a = 4.1016 Å, b = 4.1016 Å, c = 3.2383 Å
α = 90.00°, β = 90.00°, γ = 120.00°
Space group P3m1 (No. 156)
One atom of each set of equivalent atoms:
Si 0.0000 0.0000 0.0000 (multiplicity 1)
Os 0.6667 0.3333 0.9762 (multiplicity 1)
Au 0.3333 0.6667 0.4784 (multiplicity 1)

[6]
# SiOsAu2

A relaxed SiOsAu2 crystal (PBE, Alexandria via LeMat-Bulk).

final energy	-5.31	eV/atom
polymorph energy (0 for the lowest one)	0.359	eV/atom

a = 2.8959 Å, b = 2.8959 Å, c = 26.5271 Å
α = 90.00°, β = 90.00°, γ = 120.00°
Space group R-3m (No. 166, hexagonal axes)
One atom of each set of equivalent atoms:
Si 0.0000 0.0000 0.0000 (multiplicity 3)
Os 0.0000 0.0000 0.5000 (multiplicity 3)
Au 0.0000 0.0000 0.2545 (multiplicity 6)

[7]
# SiOs2Au

A relaxed SiOs2Au crystal (PBE, Alexandria via LeMat-Bulk).

final energy	-7.53	eV/atom
polymorph energy (0 for the lowest one)	0.110	eV/atom

a = 2.8206 Å, b = 2.8206 Å, c = 7.5600 Å
α = 90.00°, β = 90.00°, γ = 90.00°
Space group P4mm (No. 99)
One atom of each set of equivalent atoms:
Si 0.0000 0.0000 0.0000 (multiplicity 1)
Os 0.0000 0.0000 0.5509 (multiplicity 1)
Os 0.5000 0.5000 0.7814 (multiplicity 1)
Au 0.5000 0.5000 0.2661 (multiplicity 1)

[8]
# SiOsAu2

A relaxed SiOsAu2 crystal (PBE, Alexandria via LeMat-Bulk).

final energy	-5.48	eV/atom
polymorph energy (0 for the lowest one)	0.193	eV/atom

a = 3.0635 Å, b = 4.5173 Å, c = 9.2816 Å
α = 90.00°, β = 90.00°, γ = 90.00°
Space group Imm2 (No. 44)
One atom of each set of equivalent atoms:
Si 0.0000 0.0000 0.0000 (multiplicity 2)
Os 0.0000 0.5000 0.3070 (multiplicity 2)
Au 0.0000 0.0000 0.5161 (multiplicity 2)
Au 0.0000 0.5000 0.7272 (multiplicity 2)

What did the third record say?
# Si4OsAu

A relaxed Si4OsAu crystal (PBE, Alexandria via LeMat-Bulk).

final energy	-5.36	eV/atom

a = 7.0610 Å, b = 7.0610 Å, c = 7.0610 Å
α = 90.00°, β = 90.00°, γ = 90.00°
Space group F-43m (No. 216)
One atom of each set of equivalent atoms:
Si 0.1241 0.1241 0.1241 (multiplicity 16)
Os 0.2500 0.2500 0.7500 (multiplicity 4)
Au 0.0000 0.0000 0.5000 (multiplicity 4)